# 1
{
  "formula": "NdSmRuRh",
  "functional": "GGA-PBE",
  "state": "optimized geometry",
  "lattice_angstrom": [[0.000, 3.508, 3.508], [3.508, 0.000, 3.508], [3.508, 3.508, 0.000]],
  "species": ["Nd", "Sm", "Ru", "Rh"],
  "frac_coords": [[0.000, 0.000, 0.000], [0.500, 0.500, 0.500], [0.750, 0.750, 0.750], [0.250, 0.250, 0.250]],
  "dos_ef_per_ev_cell": 2.96,
  "volume_a3_per_atom": 21.58,
  "final_energy_ev_per_atom": -6.93,
  "formation_energy_ev_per_atom": -0.398
}

=====

# 2
{
  "formula": "NdTmRuRh",
  "functional": "GGA-PBE",
  "state": "optimized geometry",
  "lattice_angstrom": [[0.000, 3.449, 3.449], [3.449, 0.000, 3.449], [3.449, 3.449, 0.000]],
  "species": ["Nd", "Tm", "Ru", "Rh"],
  "frac_coords": [[0.000, 0.000, 0.000], [0.500, 0.500, 0.500], [0.750, 0.750, 0.750], [0.250, 0.250, 0.250]],
  "dos_ef_per_ev_cell": 2.80,
  "volume_a3_per_atom": 20.52,
  "final_energy_ev_per_atom": -6.98,
  "formation_energy_ev_per_atom": -0.515
}

=====

# 3
{
  "formula": "NdYRuRh",
  "functional": "GGA-PBE",
  "state": "optimized geometry",
  "lattice_angstrom": [[0.000, 3.477, 3.477], [3.477, 0.000, 3.477], [3.477, 3.477, 0.000]],
  "species": ["Nd", "Y", "Ru", "Rh"],
  "frac_coords": [[0.000, 0.000, 0.000], [0.500, 0.500, 0.500], [0.750, 0.750, 0.750], [0.250, 0.250, 0.250]],
  "dos_ef_per_ev_cell": 2.98,
  "volume_a3_per_atom": 21.02,
  "final_energy_ev_per_atom": -7.42,
  "formation_energy_ev_per_atom": -0.460
}

=====

# 4
{
  "formula": "NdZrRuRh",
  "functional": "GGA-PBE",
  "state": "optimized geometry",
  "lattice_angstrom": [[0.000, 3.405, 3.405], [3.405, 0.000, 3.405], [3.405, 3.405, 0.000]],
  "species": ["Nd", "Zr", "Ru", "Rh"],
  "frac_coords": [[0.000, 0.000, 0.000], [0.500, 0.500, 0.500], [0.250, 0.250, 0.250], [0.750, 0.750, 0.750]],
  "dos_ef_per_ev_cell": 3.16,
  "volume_a3_per_atom": 19.73,
  "final_energy_ev_per_atom": -7.94,
  "formation_energy_ev_per_atom": -0.451
}